## YB4C2 (PBE)

Data for an optimized crystal structure of YB4C2.

The space group is P4_2/mnm (No. 136) and the conventional cell measures 6.087, 6.087 and 4.286 Å, with angles of 90.00, 90.00 and 90.00 degrees. The distinct sites, in fractional coordinates, are Y at (0.000, 0.000, 0.000), B at (0.058, 0.384, 0.500) and C at (0.191, 0.191, 0.500).

The energy relative to the elements is 193 meV/atom. The calculation puts the volume at 11.34 A^3/atom. The total magnetization is 0.000 μB/atom. The calculation puts the total energy at -7.1812 eV/atom.